# 1
14
Lattice="3.466 0.000 -0.678 -0.468 9.248 -2.393 0.114 -0.024 9.783" Properties=species:S:1:pos:R:3 comment="CsNb5Se8 PBE-GGA optimized geometry" n_ef_per_ev_atom=0.45 density_g_cm3=6.50 sg=C2/m raw_formation_energy_kj_per_mol_atoms=-86.2 pbc="T T T"
Cs 1.499 4.624 -1.535
Nb 0.771 5.841 3.941
Nb 2.341 3.384 2.772
Nb 0.869 9.126 4.442
Nb 2.243 0.099 2.270
Nb 3.580 -0.023 9.105
Se 0.809 1.488 4.137
Se 2.303 7.736 2.576
Se 0.339 4.677 1.732
Se 2.773 4.547 4.981
Se -0.061 7.579 -0.312
Se 3.173 1.646 7.024
Se 1.217 7.404 6.223
Se 1.895 1.821 0.490


# 2
10
Lattice="4.528 -2.614 0.000 0.000 5.228 0.000 0.000 0.000 10.611" Properties=species:S:1:pos:R:3 comment="CsNbSe3 PBE-GGA optimized geometry" n_ef_per_ev_atom=0.54 density_g_cm3=6.12 sg=P6_3/mmc raw_formation_energy_kj_per_mol_atoms=-21.8 pbc="T T T"
Cs 1.509 2.614 7.958
Cs 3.019 0.000 2.653
Nb 0.000 0.000 0.000
Nb 0.000 0.000 5.305
Se 0.000 0.000 2.653
Se 0.000 0.000 7.958
Se 1.509 2.614 0.513
Se 1.509 2.614 4.792
Se 3.019 0.000 5.819
Se 3.019 0.000 10.098